(1)
SrIn2SnH | GGA-PBE | optimized geometry

Results
* total DFT energy (no corrections): -3.085 eV per atom
* DOS(E_F): 0.568 states/eV/atom

POSCAR file:
```
SrIn2SnH
1.0
-4.488 1.981 -0.385
-1.704 -3.217 3.311
1.073 3.129 3.592
Sr Sn H In
1 1 1 2
direct
0.000 0.000 0.500 Sr
0.500 0.500 0.500 Sn
0.000 0.000 0.000 H
0.000 0.500 0.000 In
0.500 0.000 0.000 In
```

=====

(2)
RbSrTa | GGA-PBE | optimized geometry

Results
* total DFT energy (no corrections): -4.152 eV per atom
* DOS(E_F): 1.256 states/eV/atom
* formation enthalpy at 0 K: 0.68 eV/atom
* offset from the most stable computed form: 0.67 eV/f.u.

POSCAR file:
```
RbSrTa
1.0
4.694 0.000 0.000
0.002 3.660 -0.005
0.003 1.910 16.271
Sr Rb Ta
2 2 2
direct
0.196 0.763 0.985 Sr
0.695 0.612 0.276 Sr
0.196 0.000 0.503 Rb
0.696 0.373 0.758 Rb
0.695 0.202 0.102 Ta
0.195 0.173 0.159 Ta
```

=====

Copy entry 2 word for word.
RbSrTa | GGA-PBE | optimized geometry

Results
* total DFT energy (no corrections): -4.152 eV per atom
* DOS(E_F): 1.256 states/eV/atom
* formation enthalpy at 0 K: 0.68 eV/atom
* offset from the most stable computed form: 0.67 eV/f.u.

POSCAR file:
```
RbSrTa
1.0
4.694 0.000 0.000
0.002 3.660 -0.005
0.003 1.910 16.271
Sr Rb Ta
2 2 2
direct
0.196 0.763 0.985 Sr
0.695 0.612 0.276 Sr
0.196 0.000 0.503 Rb
0.696 0.373 0.758 Rb
0.695 0.202 0.102 Ta
0.195 0.173 0.159 Ta
```